Below is a relaxed Re3Os crystal, with properties calculated at the GGA-PBE level. Values from VASP.

Structure (Quantum ESPRESSO input):
```
&SYSTEM
  ibrav = 0, nat = 16, ntyp = 2
/
ATOMIC_SPECIES
Re 186.21 Re.upf
Os 190.23 Os.upf
CELL_PARAMETERS angstrom
4.803 0.000 0.000
0.000 8.880 0.000
0.000 0.000 5.553
ATOMIC_POSITIONS crystal
Re 0.253 0.504 0.876
Re 0.247 0.496 0.376
Re 0.247 0.004 0.376
Re 0.085 0.750 0.124
Re 0.747 0.496 0.124
Re 0.915 0.250 0.876
Re 0.753 0.996 0.624
Re 0.415 0.250 0.624
Re 0.253 0.996 0.876
Re 0.747 0.004 0.124
Re 0.585 0.750 0.376
Re 0.753 0.504 0.624
Os 0.414 0.250 0.124
Os 0.914 0.250 0.376
Os 0.086 0.750 0.624
Os 0.586 0.750 0.876
```

Properties
**Energy of formation from the pure elements**: -0.014 eV/atom
**E**: -12.1571 eV per atom


Below is a relaxed Ni2PCl crystal, with properties calculated at the GGA-PBE level. Values from VASP.

Structure (Quantum ESPRESSO input):
```
&SYSTEM
  ibrav = 0, nat = 4, ntyp = 3
/
ATOMIC_SPECIES
P 30.97 P.upf
Ni 58.69 Ni.upf
Cl 35.45 Cl.upf
CELL_PARAMETERS angstrom
6.407 0.005 -0.093
5.609 3.097 -0.093
-0.766 -0.198 3.113
ATOMIC_POSITIONS crystal
P 0.462 0.462 0.587
Ni 0.836 0.836 0.461
Ni 0.004 0.004 0.130
Cl 0.198 0.198 0.322
```

Properties
**E above lowest polymorph**: 0.32 kcal/mol of atoms
**E_form (uncorrected)**: -306 meV/atom
**E**: -5.0105 eV per atom


Below is a relaxed Mg2InReO crystal, with properties calculated at the GGA-PBE level. Values from VASP.

Structure (Quantum ESPRESSO input):
```
&SYSTEM
  ibrav = 0, nat = 5, ntyp = 4
/
ATOMIC_SPECIES
Mg 24.30 Mg.upf
Re 186.21 Re.upf
O 16.00 O.upf
In 114.82 In.upf
CELL_PARAMETERS angstrom
-0.161 -1.120 -5.067
0.018 -5.061 1.118
-5.189 0.018 0.161
ATOMIC_POSITIONS crystal
Mg 0.000 0.000 0.500
Mg 0.500 0.000 0.000
Re 0.000 0.000 0.000
O 0.500 0.500 0.500
In 0.000 0.500 0.000
```

Properties
**E_form (uncorrected)**: 1136 meV/atom
**E**: -3.5311 eV per atom


Below is a relaxed Nd4Dy5Mg crystal, with properties calculated at the GGA-PBE level. Values from VASP.

Structure (Quantum ESPRESSO input):
```
&SYSTEM
  ibrav = 0, nat = 10, ntyp = 3
/
ATOMIC_SPECIES
Dy 162.50 Dy.upf
Nd 144.24 Nd.upf
Mg 24.30 Mg.upf
CELL_PARAMETERS angstrom
-3.155 -2.627 -0.601
2.668 -2.916 -1.262
1.700 -6.074 17.631
ATOMIC_POSITIONS crystal
Dy 0.500 0.500 0.092
Dy 0.500 0.500 0.908
Dy 0.500 0.500 0.500
Dy 0.500 0.500 0.704
Dy 0.500 0.500 0.296
Nd 0.000 0.000 0.398
Nd 0.000 0.000 0.602
Nd 0.000 0.000 0.800
Nd 0.000 0.000 0.200
Mg 0.000 0.000 0.000
```

Properties
**E above lowest polymorph**: 0.00 kcal/mol of atoms
**Energy of formation from the pure elements**: 0.091 eV/atom
**E**: -4.2768 eV per atom


Below is a relaxed DyZr2P3 crystal, with properties calculated at the GGA-PBE level. Values from VASP.

Structure (Quantum ESPRESSO input):
```
&SYSTEM
  ibrav = 0, nat = 6, ntyp = 3
/
ATOMIC_SPECIES
Zr 91.22 Zr.upf
P 30.97 P.upf
Dy 162.50 Dy.upf
CELL_PARAMETERS angstrom
3.666 0.000 -1.039
-0.567 4.999 -2.001
-0.105 -0.295 6.620
ATOMIC_POSITIONS crystal
Zr 0.337 0.837 0.674
Zr 0.663 0.163 0.326
P 0.000 0.000 0.000
P 0.326 0.326 0.652
P 0.674 0.674 0.348
Dy 0.000 0.500 0.000
```

Properties
**Energy of formation from the pure elements**: -1.422 eV/atom
**E**: -7.7432 eV per atom